A geometry-optimized Tb3Er8Th4 structure. Source: Alexandria via LeMat-Bulk, functional GGA-PBE.

a b c (Å): 11.6198 9.2621 9.2621
angles (deg): 88.04 128.69 128.69
Positions (direct):
1 Er 0.9962 0.7346 0.7346
2 Er 0.4945 0.7526 0.7526
3 Er 0.0038 0.2654 0.2654
4 Er 0.0000 0.6373 0.3627
5 Er 0.5055 0.2474 0.2474
6 Er 0.5000 0.7498 0.2502
7 Er 0.5000 0.2502 0.7498
8 Er 0.0000 0.3627 0.6373
9 Tb 0.5000 0.0000 0.5000
10 Tb 0.5000 0.5000 0.5000
11 Tb 0.5000 0.5000 0.0000
12 Th 0.0000 0.0000 0.0000
13 Th 0.5000 0.0000 0.0000
14 Th 0.0000 0.5000 0.0000
15 Th 0.0000 0.0000 0.5000

Energy of formation from the pure elements in eV per atom: 0.440
Space-group type: C2/m (12)

***

A geometry-optimized CrHPd3 structure. Source: Alexandria via LeMat-Bulk, functional GGA-PBE.

a b c (Å): 5.2097 5.3972 4.9720
angles (deg): 89.37 83.94 116.58
Positions (direct):
1 H 0.1973 0.0722 0.7389
2 H 0.2742 0.6240 0.1962
3 Cr 0.6415 0.6236 0.0292
4 Cr 0.6319 0.2983 0.8815
5 Pd 0.0671 0.1809 0.0584
6 Pd 0.3657 0.4271 0.5220
7 Pd 0.4391 0.9865 0.3167
8 Pd 0.1939 0.7408 0.8578
9 Pd 0.9024 0.4969 0.3947
10 Pd 0.8377 0.9388 0.5948

Space-group type: P1 (1)
Relative energy among the computed polymorphs in meV/atom: 121

***

What magnetic moment values result from the calculations? In sequence: 0.002 0.000 μB/cell.